Entry 1:
! MgPa2Os PBE-GGA relaxed; values from VASP
! Formation energy = 0.0262 eV per atom
! Calculated volume = 91 Å³/f.u.
! Density = 12.33 g/cm3
! Final energy = -7.928 eV/atom
&SYSTEM
  ibrav = 0, nat = 4, ntyp = 3
/
ATOMIC_SPECIES
Mg 24.30 Mg.upf
Pa 231.04 Pa.upf
Os 190.23 Os.upf
ATOMIC_POSITIONS angstrom
Mg 0.000 0.000 0.000
Pa 1.829 1.829 1.983
Pa 1.829 1.829 4.825
Os 0.000 0.000 3.404
CELL_PARAMETERS angstrom
3.658 0.000 0.000
0.000 3.658 0.000
0.000 0.000 6.808

Entry 2:
! MgPaOs PBE-GGA relaxed; values from VASP
! Formation energy = -0.2214 eV per atom
! Calculated volume = 63 Å³/f.u.
! Density = 11.81 g/cm3
! Final energy = -7.661 eV/atom
&SYSTEM
  ibrav = 0, nat = 6, ntyp = 3
/
ATOMIC_SPECIES
Mg 24.30 Mg.upf
Pa 231.04 Pa.upf
Os 190.23 Os.upf
ATOMIC_POSITIONS angstrom
Mg 0.000 1.292 0.000
Mg 0.000 4.069 0.000
Pa 0.000 0.000 3.193
Pa 0.000 0.000 7.269
Os 2.234 0.000 1.402
Os 0.000 2.680 3.828
CELL_PARAMETERS angstrom
-2.234 2.680 5.231
2.234 -2.680 5.231
2.234 2.680 -5.231

> Which of these has the lowest density?

MgPaOs